[1]
# RbZrMnMo2 | the Alexandria database | PBE | optimized geometry
data_RbZrMnMo2
_cell_length_a 4.7964
_cell_length_b 4.7964
_cell_length_c 4.4765
_cell_angle_alpha 90.00
_cell_angle_beta 90.00
_cell_angle_gamma 90.00
_symmetry_space_group_name_H-M 'P 4/m m m'
_symmetry_Int_Tables_number 123
_symmetry_space_group_name_Hall '-P 4 2'
loop_
_atom_site_label
_atom_site_type_symbol
_atom_site_fract_x
_atom_site_fract_y
_atom_site_fract_z
_atom_site_occupancy
Rb1 Rb 0.0000 0.0000 0.0000 1
Zr1 Zr 0.5000 0.5000 0.5000 1
Mn1 Mn 0.0000 0.0000 0.5000 1
Mo1 Mo 0.0000 0.5000 0.0000 1
# Spin magnetization (μB/atom): 0.42
# Crystal system: tetragonal
# E (eV/atom): -5.4168

=====

[2]
# PmEuSbPd | the Alexandria database | PBE | optimized geometry
data_PmEuSbPd
_cell_length_a 7.5211
_cell_length_b 7.5211
_cell_length_c 7.5211
_cell_angle_alpha 90.00
_cell_angle_beta 90.00
_cell_angle_gamma 90.00
_symmetry_space_group_name_H-M 'F -4 3 m'
_symmetry_Int_Tables_number 216
_symmetry_space_group_name_Hall 'F -4 2 3'
loop_
_atom_site_label
_atom_site_type_symbol
_atom_site_fract_x
_atom_site_fract_y
_atom_site_fract_z
_atom_site_occupancy
Pm1 Pm 0.0000 0.0000 0.0000 1
Eu1 Eu 0.0000 0.0000 0.5000 1
Sb1 Sb 0.2500 0.2500 0.2500 1
Pd1 Pd 0.2500 0.2500 0.7500 1
# Spin magnetization (μB/atom): 1.81
# Crystal system: cubic
# E (eV/atom): -6.9005
# Formation energy without anion corrections (meV/atom): -815